Record 1
{
  "formula": "Co2AgSe",
  "functional": "PBE",
  "state": "relaxed",
  "vol_a3_per_atom": 15.75,
  "spacegroup": "Pm, No. 6",
  "raw_formation_energy_ev_per_atom": 0.25,
  "cell": [[2.8649, 0.0000, 0.0000], [0.0000, 3.3163, 0.0000], [-1.3576, 0.0000, 6.6322]],
  "species": ["Co", "Co", "Ag", "Se"],
  "frac_coords": [[0.0000, 0.0000, 0.0000], [0.4217, 0.5000, 0.8351], [0.6195, 0.5000, 0.2512], [0.8260, 0.0000, 0.6385]]
}

***

Record 2
{
  "formula": "BePt2Rh",
  "functional": "PBE",
  "state": "relaxed",
  "formation_energy_ev_per_atom": -0.0448,
  "vol_a3_per_atom": 14.10,
  "spacegroup": "F-43m, No. 216",
  "cell": [[0.0000, 3.0436, 3.0436], [3.0436, 0.0000, 3.0436], [3.0436, 3.0436, 0.0000]],
  "species": ["Be", "Pt", "Pt", "Rh"],
  "frac_coords": [[0.0000, 0.0000, 0.0000], [0.5000, 0.5000, 0.5000], [0.7500, 0.7500, 0.7500], [0.2500, 0.2500, 0.2500]]
}

***

Record 3
{
  "formula": "CsNaTlO2",
  "functional": "PBE",
  "state": "relaxed",
  "vol_a3_per_atom": 26.51,
  "spacegroup": "P2/c, No. 13",
  "raw_formation_energy_ev_per_atom": -0.87,
  "cell": [[7.0135, 0.0000, 0.0000], [0.0000, 5.7799, 0.0000], [-1.5185, 0.0000, 6.5396]],
  "species": ["Cs", "Cs", "Na", "Na", "Tl", "Tl", "O", "O", "O", "O"],
  "frac_coords": [[0.0000, 0.1926, 0.2500], [0.0000, 0.8074, 0.7500], [0.5000, 0.5000, 0.0000], [0.5000, 0.5000, 0.5000], [0.5000, 0.0432, 0.7500], [0.5000, 0.9568, 0.2500], [0.3168, 0.1801, 0.9975], [0.3168, 0.8199, 0.4975], [0.6832, 0.1801, 0.5025], [0.6832, 0.8199, 0.0025]]
}

***

Record 4
{
  "formula": "GaMoI2",
  "functional": "PBE",
  "state": "relaxed",
  "vol_a3_per_atom": 22.89,
  "spacegroup": "Fm-3m, No. 225",
  "raw_formation_energy_ev_per_atom": 0.77,
  "cell": [[0.0000, 3.5771, 3.5771], [3.5771, 0.0000, 3.5771], [3.5771, 3.5771, 0.0000]],
  "species": ["Ga", "Mo", "I", "I"],
  "frac_coords": [[0.0000, 0.0000, 0.0000], [0.5000, 0.5000, 0.5000], [0.2500, 0.2500, 0.2500], [0.7500, 0.7500, 0.7500]]
}

***

no.,E_tot (eV per atom),Fermi-level density of states (states/eV/cell)
1,-4.884,4.07
2,-5.835,6.33
3,-3.760,3.08
4,-3.467,3.79